Entry 1:
A plane-wave DFT calculation with PBE was carried out for a geometry-optimized Ba2HfReP structure.

a = 6.352 Å, b = 6.352 Å, c = 4.671 Å
α = 90.00°, β = 90.00°, γ = 90.00°
Space group P4/mmm (No. 123)
One atom of each set of equivalent atoms:
1 Ba 0.000 0.500 0.000 x2
2 Hf 0.000 0.000 0.000 x1
3 Re 0.000 0.000 0.500 x1
4 P 0.500 0.500 0.500 x1

Computed properties:
E_tot (eV/cell): -25.638
M_tot (μB/f.u.): 0.0

=====

Entry 2:
A plane-wave DFT calculation with PBE was carried out for a geometry-optimized BaHf2PRh structure.

a = 4.822 Å, b = 4.822 Å, c = 5.824 Å
α = 90.00°, β = 90.00°, γ = 90.00°
Space group P4/mmm (No. 123)
One atom of each set of equivalent atoms:
1 Ba 0.000 0.000 0.000 x1
2 Hf 0.000 0.500 0.500 x2
3 P 0.000 0.000 0.500 x1
4 Rh 0.500 0.500 0.000 x1

Computed properties:
E_tot (eV/cell): -33.251
M_tot (μB/f.u.): 0.0

=====

Entry 3:
A plane-wave DFT calculation with PBE was carried out for a geometry-optimized BaHfP2S8 structure.

a = 6.0658 Å, b = 6.0658 Å, c = 8.8840 Å
α = 90.00°, β = 90.00°, γ = 120.00°
Space group P-3 (No. 147)
One atom of each set of equivalent atoms:
1 Ba 0.0000 0.0000 0.0000 x1
2 Hf 0.0000 0.0000 0.5000 x1
3 P 0.3333 0.6667 0.7410 x2
4 S 0.0041 0.3376 0.6728 x6
5 S 0.3333 0.6667 0.9659 x2

Computed properties:
Formation energy (no corrections) (eV per atom): -0.847
M_tot (μB/f.u.): 0.0

=====

Entry 4:
A plane-wave DFT calculation with PBE was carried out for a geometry-optimized BaHfP2Se8 structure.

a = 6.3992 Å, b = 6.3992 Å, c = 9.2300 Å
α = 90.00°, β = 90.00°, γ = 120.00°
Space group P-3 (No. 147)
One atom of each set of equivalent atoms:
1 Ba 0.0000 0.0000 0.0000 x1
2 Hf 0.0000 0.0000 0.5000 x1
3 P 0.3333 0.6667 0.7411 x2
4 Se 0.0125 0.6719 0.3263 x6
5 Se 0.3333 0.6667 0.9759 x2

Computed properties:
Formation energy (no corrections) (eV per atom): -0.661
M_tot (μB/f.u.): 0.0

=====

Entry 5:
A plane-wave DFT calculation with PBE was carried out for a geometry-optimized BaHf2TcP structure.

a = 5.270 Å, b = 5.270 Å, c = 4.953 Å
α = 90.00°, β = 90.00°, γ = 90.00°
Space group P4/mmm (No. 123)
One atom of each set of equivalent atoms:
1 Ba 0.000 0.000 0.000 x1
2 Hf 0.000 0.500 0.000 x2
3 Tc 0.500 0.500 0.500 x1
4 P 0.000 0.000 0.500 x1

Computed properties:
E_tot (eV/cell): -24.153
M_tot (μB/f.u.): 0.0

=====

Entry 6:
A plane-wave DFT calculation with PBE was carried out for a geometry-optimized Ba2YHfP structure.

a = 6.196 Å, b = 6.196 Å, c = 5.248 Å
α = 90.00°, β = 90.00°, γ = 90.00°
Space group P4/mmm (No. 123)
One atom of each set of equivalent atoms:
1 Ba 0.000 0.500 0.000 x2
2 Y 0.000 0.000 0.000 x1
3 Hf 0.000 0.000 0.500 x1
4 P 0.500 0.500 0.500 x1

Computed properties:
E_tot (eV/cell): -19.903
M_tot (μB/f.u.): 0.0

=====

Question: M_tot of number 6 (Ba2YHfP)?
Answer: 0.0 μB/f.u.

=====

Question: What is the M_tot in the fourth record?
Answer: 0.0 μB/f.u.

=====

Question: What is the formula in the second record?
Answer: BaHf2PRh